1.
This record from Alexandria describes U5Au3S12 after structural relaxation. The functional is PBE-GGA.

The structure in extended XYZ format:
```
80
Lattice="-7.965 7.965 7.965 7.965 -7.965 7.965 7.965 7.965 -7.965" Properties=species:S:1:pos:R:3 pbc="T T T"
U 0.000 0.000 0.000
U 3.983 3.983 -3.983
U 3.983 -3.983 3.983
U 7.965 0.000 0.000
U 11.948 1.991 0.000
U 7.965 -3.983 5.974
U 5.974 7.965 -3.983
U 5.974 0.000 3.983
U 3.983 5.974 0.000
U 7.965 3.983 1.991
U -3.983 3.983 3.983
U 0.000 7.965 0.000
U 0.000 0.000 7.965
U 3.983 3.983 3.983
U 0.000 3.983 5.974
U 3.983 1.991 7.965
U 1.991 7.965 3.983
U 1.991 0.000 11.948
U 0.000 11.948 1.991
U -3.983 5.974 7.965
Au 3.983 1.991 0.000
Au 7.965 3.983 -1.991
Au 1.991 0.000 3.983
Au 9.956 0.000 3.983
Au 0.000 3.983 1.991
Au 3.983 -1.991 7.965
Au 3.983 9.956 0.000
Au 7.965 3.983 5.974
Au -1.991 7.965 3.983
Au 5.974 7.965 3.983
Au 0.000 3.983 9.956
Au 3.983 5.974 7.965
S 2.286 -0.522 1.243
S 9.661 5.226 -4.505
S 7.443 -1.243 2.286
S 12.470 -1.696 2.739
S 1.243 2.286 -0.522
S 10.704 3.460 -1.696
S 10.252 0.522 1.243
S 9.661 -2.739 4.505
S 5.226 4.505 -1.696
S 6.722 2.286 0.522
S -0.522 1.243 2.286
S 4.505 -1.696 5.226
S 7.443 6.722 -2.286
S 4.505 1.696 2.739
S 6.722 -2.286 7.443
S 5.226 -4.505 9.661
S 2.286 7.443 -1.243
S 2.739 4.505 1.696
S 9.208 5.679 0.522
S 9.661 2.739 3.460
S 4.505 9.661 -2.739
S 7.443 1.243 5.679
S 1.696 2.739 4.505
S 2.286 0.522 6.722
S 5.679 7.443 1.243
S 6.269 5.226 3.460
S 0.522 6.722 2.286
S 3.460 -1.696 10.704
S -1.696 5.226 4.505
S -1.243 2.286 7.443
S 5.226 3.460 6.269
S 5.679 0.522 9.208
S 2.739 12.470 -1.696
S 1.243 10.252 0.522
S 3.460 6.269 5.226
S 0.522 1.243 10.252
S 3.460 9.661 2.739
S 8.487 6.722 5.679
S 1.243 5.679 7.443
S 2.739 3.460 9.661
S -1.696 10.704 3.460
S -2.286 7.443 6.722
S -2.739 4.505 9.661
S 6.722 5.679 8.487
S -4.505 9.661 5.226
S 0.522 9.208 5.679
S -1.696 2.739 12.470
S 5.679 8.487 6.722
```

Values from the calculation:
Density   7.12 g cm⁻³
Formation energy from raw total energies   -542 meV/atom
DFT total energy   -6.333 eV/atom
Crystal system   cubic

=====

2.
This record from Alexandria describes UAuS3 after structural relaxation. The functional is PBE-GGA.

The structure in extended XYZ format:
```
10
Lattice="3.884 0.000 0.000 0.000 7.975 0.000 -1.911 0.000 7.000" Properties=species:S:1:pos:R:3 pbc="T T T"
U 0.017 1.994 3.424
U 1.955 5.981 3.576
Au 1.942 0.000 0.000
Au 1.942 3.987 0.000
S 0.014 4.520 2.370
S 0.014 7.442 2.370
S 0.014 5.981 5.692
S 1.958 1.994 1.308
S 1.958 0.532 4.630
S 1.958 3.455 4.630
```

Values from the calculation:
Density   8.14 g cm⁻³
Formation energy from raw total energies   -765 meV/atom
DFT total energy   -6.154 eV/atom
Crystal system   monoclinic

=====

3.
This record from Alexandria describes UAuS4 after structural relaxation. The functional is PBE-GGA.

The structure in extended XYZ format:
```
12
Lattice="3.683 -3.694 0.000 3.683 3.694 0.000 0.000 0.000 11.835" Properties=species:S:1:pos:R:3 pbc="T T T"
U 3.683 2.846 8.876
U 3.683 -2.846 2.959
Au 3.683 0.939 2.959
Au 3.683 -0.939 8.876
S 1.885 0.941 8.876
S 3.683 2.724 6.258
S 3.683 2.724 11.494
S 1.885 -0.941 2.959
S 5.480 0.941 8.876
S 3.683 -2.724 0.340
S 3.683 -2.724 5.577
S 5.480 -0.941 2.959
```

Values from the calculation:
Density   5.81 g cm⁻³
Formation energy from raw total energies   -528 meV/atom
DFT total energy   -5.707 eV/atom
Crystal system   orthorhombic

=====

Among the records above, which one has the highest formation energy from raw total energies?
UAuS4